The following is a PBE calculation of a geometry-optimized RbPd2Se structure, from Alexandria.

D(E_F)	0.8	states/eV/f.u.
ΔE_f (raw)	-173	kJ/mol of formula units
E	-4.158	eV per atom

Structure (CIF):
```
data_RbPd2Se
_symmetry_space_group_name_H-M 'I 41/a m d'
_symmetry_Int_Tables_number 141
_cell_length_a 5.466
_cell_length_b 5.466
_cell_length_c 15.991
_cell_angle_alpha 90.00
_cell_angle_beta 90.00
_cell_angle_gamma 90.00
loop_
_symmetry_equiv_pos_as_xyz
'x,y,z'
'-x,-y,-z'
'-y+1/4,x+3/4,z+1/4'
'y+1/4,-x+3/4,-z+1/4'
'-x+1/2,-y,z+1/2'
'x+1/2,y,-z+1/2'
'y+1/4,-x+1/4,z+3/4'
'-y+1/4,x+1/4,-z+3/4'
'x,-y,-z'
'-x,y,z'
'-y+1/4,-x+1/4,-z+3/4'
'y+1/4,x+1/4,z+3/4'
'-x+1/2,y,-z+1/2'
'x+1/2,-y,z+1/2'
'y+1/4,x+3/4,-z+1/4'
'-y+1/4,-x+3/4,z+1/4'
'x+1/2,y+1/2,z+1/2'
'-x+1/2,-y+1/2,-z+1/2'
'-y+3/4,x+1/4,z+3/4'
'y+3/4,-x+1/4,-z+3/4'
'-x,-y+1/2,z'
'x,y+1/2,-z'
'y+3/4,-x+3/4,z+1/4'
'-y+3/4,x+3/4,-z+1/4'
'x+1/2,-y+1/2,-z+1/2'
'-x+1/2,y+1/2,z+1/2'
'-y+3/4,-x+3/4,-z+1/4'
'y+3/4,x+3/4,z+1/4'
'-x,y+1/2,-z'
'x,-y+1/2,z'
'y+3/4,x+1/4,-z+3/4'
'-y+3/4,-x+1/4,z+3/4'
loop_
_atom_site_label
_atom_site_fract_x
_atom_site_fract_y
_atom_site_fract_z
_atom_site_occupancy
Rb1 0.000 0.250 0.375 1
Pd1 0.000 0.000 0.000 1
Se1 0.000 0.250 0.875 1
```